a | First-principles (PBE) data for crystalline SrCdTc at its relaxed geometry, as listed in Alexandria.

Properties
**V**: 86 Å³ per cell
**Total moment**: 2.53 μB/cell

abc: 4.9582 4.9582 4.9582
angles: 60.00 60.00 60.00
Sites, in units of the cell vectors:
1 Sr 0.0000 0.0000 0.0000
2 Cd 0.5000 0.5000 0.5000
3 Tc 0.7500 0.7500 0.7500

---

b | First-principles (PBE) data for crystalline SrCdTc at its relaxed geometry, as listed in Alexandria.

Properties
**V**: 69 Å³ per cell
**Total moment**: 0.06 μB/cell

abc: 5.1503 5.1503 2.9822
angles: 90.00 90.00 120.00
Sites, in units of the cell vectors:
1 Sr 0.0000 0.0000 0.0000
2 Cd 0.3333 0.6667 0.4966
3 Tc 0.6667 0.3333 0.5032

---

c | First-principles (PBE) data for crystalline SrCdTc at its relaxed geometry, as listed in Alexandria.

Properties
**V**: 96 Å³ per cell
**Total moment**: 3.21 μB/cell

abc: 5.1482 5.1482 5.1482
angles: 60.00 60.00 60.00
Sites, in units of the cell vectors:
1 Sr 0.0000 0.0000 0.0000
2 Cd 0.7500 0.7500 0.7500
3 Tc 0.2500 0.2500 0.2500

---

Least stable = c

---

a | First-principles (PBE) data for crystalline SrCdTc3 at its relaxed geometry, as listed in Alexandria.

Properties
**V**: 113 Å³ per cell
**Total moment**: 3.55 μB/cell

abc: 4.8389 4.8389 4.8389
angles: 90.00 90.00 90.00
Sites, in units of the cell vectors:
1 Sr 0.0000 0.0000 0.0000
2 Cd 0.5000 0.5000 0.5000
3 Tc 0.0000 0.0000 0.5000
4 Tc 0.0000 0.5000 0.0000
5 Tc 0.5000 0.0000 0.0000

---

b | First-principles (PBE) data for crystalline SrCdTc3 at its relaxed geometry, as listed in Alexandria.

Properties
**V**: 135 Å³ per cell
**Total moment**: 8.86 μB/cell

abc: 5.1279 5.1279 5.1279
angles: 90.00 90.00 90.00
Sites, in units of the cell vectors:
1 Sr 0.0000 0.0000 0.0000
2 Cd 0.5000 0.5000 0.5000
3 Tc 0.0000 0.5000 0.5000
4 Tc 0.5000 0.0000 0.5000
5 Tc 0.5000 0.5000 0.0000

---

Least stable = a

---

a | First-principles (PBE) data for crystalline Sr2CdTe2 at its relaxed geometry, as listed in Alexandria.

Properties
**V**: 353 Å³ per cell
**Total moment**: 0.00 μB/cell

abc: 9.1258 9.1258 4.2444
angles: 90.00 90.00 90.00
Sites, in units of the cell vectors:
1 Sr 0.1469 0.3531 0.0000
2 Sr 0.3531 0.8531 0.0000
3 Sr 0.6469 0.1469 0.0000
4 Sr 0.8531 0.6469 0.0000
5 Cd 0.0000 0.0000 0.0000
6 Cd 0.5000 0.5000 0.0000
7 Te 0.1550 0.6550 0.5000
8 Te 0.3450 0.1550 0.5000
9 Te 0.6550 0.8450 0.5000
10 Te 0.8450 0.3450 0.5000

---

b | First-principles (PBE) data for crystalline Sr2CdTe2 at its relaxed geometry, as listed in Alexandria.

Properties
**V**: 240 Å³ per cell
**Total moment**: 0.00 μB/cell

abc: 7.8531 7.8531 7.8531
angles: 134.76 134.76 65.90
Sites, in units of the cell vectors:
1 Sr 0.2500 0.7500 0.5000
2 Sr 0.7500 0.2500 0.5000
3 Cd 0.0000 0.0000 0.0000
4 Te 0.3391 0.3391 0.0000
5 Te 0.6609 0.6609 0.0000

---

Least stable = b

---

a | First-principles (PBE) data for crystalline SrTi3Cd at its relaxed geometry, as listed in Alexandria.

Properties
**V**: 143 Å³ per cell
**Total moment**: 5.94 μB/cell

abc: 5.2257 5.2257 5.2257
angles: 90.00 90.00 90.00
Sites, in units of the cell vectors:
1 Sr 0.0000 0.0000 0.0000
2 Ti 0.0000 0.5000 0.5000
3 Ti 0.5000 0.0000 0.5000
4 Ti 0.5000 0.5000 0.0000
5 Cd 0.5000 0.5000 0.5000

---

b | First-principles (PBE) data for crystalline SrTi3Cd at its relaxed geometry, as listed in Alexandria.

Properties
**V**: 112 Å³ per cell
**Total moment**: 1.93 μB/cell

abc: 4.8231 4.8231 4.8231
angles: 90.00 90.00 90.00
Sites, in units of the cell vectors:
1 Sr 0.0000 0.0000 0.0000
2 Ti 0.0000 0.0000 0.5000
3 Ti 0.0000 0.5000 0.0000
4 Ti 0.5000 0.0000 0.0000
5 Cd 0.5000 0.5000 0.5000

---

Least stable = b

---

a | First-principles (PBE) data for crystalline SrTl6Cd at its relaxed geometry, as listed in Alexandria.

Properties
**V**: 252 Å³ per cell
**Total moment**: 0.00 μB/cell

abc: 6.9156 6.9156 6.9156
angles: 109.73 109.73 109.73
Sites, in units of the cell vectors:
1 Sr 0.0000 0.0000 0.0000
2 Tl 0.2544 0.2544 0.7300
3 Tl 0.2544 0.7300 0.2544
4 Tl 0.2700 0.7456 0.7456
5 Tl 0.7300 0.2544 0.2544
6 Tl 0.7456 0.2700 0.7456
7 Tl 0.7456 0.7456 0.2700
8 Cd 0.5000 0.5000 0.5000

---

b | First-principles (PBE) data for crystalline SrTl6Cd at its relaxed geometry, as listed in Alexandria.

Properties
**V**: 243 Å³ per cell
**Total moment**: 0.00 μB/cell

abc: 6.9058 6.9058 5.4119
angles: 90.00 90.00 109.71
Sites, in units of the cell vectors:
1 Sr 0.0000 0.0000 0.0000
2 Tl 0.0000 0.5000 0.0000
3 Tl 0.2302 0.7698 0.5000
4 Tl 0.2899 0.2899 0.5000
5 Tl 0.5000 0.0000 0.0000
6 Tl 0.7101 0.7101 0.5000
7 Tl 0.7698 0.2302 0.5000
8 Cd 0.5000 0.5000 0.0000

---

Least stable = a

---

a | First-principles (PBE) data for crystalline SrTl2Cd2 at its relaxed geometry, as listed in Alexandria.

Properties
**V**: 300 Å³ per cell
**Total moment**: 0.00 μB/cell

abc: 8.8174 8.8174 3.8599
angles: 90.00 90.00 90.00
Sites, in units of the cell vectors:
1 Sr 0.0000 0.0000 0.0000
2 Sr 0.5000 0.5000 0.0000
3 Tl 0.1339 0.3661 0.0000
4 Tl 0.3661 0.8661 0.0000
5 Tl 0.6339 0.1339 0.0000
6 Tl 0.8661 0.6339 0.0000
7 Cd 0.1617 0.6617 0.5000
8 Cd 0.3383 0.1617 0.5000
9 Cd 0.6617 0.8383 0.5000
10 Cd 0.8383 0.3383 0.5000

---

b | First-principles (PBE) data for crystalline SrTl2Cd2 at its relaxed geometry, as listed in Alexandria.

Properties
**V**: 152 Å³ per cell
**Total moment**: 0.00 μB/cell

abc: 7.3163 7.3163 7.3163
angles: 141.30 141.30 55.89
Sites, in units of the cell vectors:
1 Sr 0.0000 0.0000 0.0000
2 Tl 0.2500 0.7500 0.5000
3 Tl 0.7500 0.2500 0.5000
4 Cd 0.3929 0.3929 0.0000
5 Cd 0.6071 0.6071 0.0000

---

c | First-principles (PBE) data for crystalline SrTl2Cd2 at its relaxed geometry, as listed in Alexandria.

Properties
**V**: 301 Å³ per cell
**Total moment**: 0.00 μB/cell

abc: 8.6440 8.6440 4.0235
angles: 90.00 90.00 90.00
Sites, in units of the cell vectors:
1 Sr 0.0000 0.0000 0.0000
2 Sr 0.5000 0.5000 0.0000
3 Tl 0.1801 0.3199 0.5000
4 Tl 0.3199 0.8199 0.5000
5 Tl 0.6801 0.1801 0.5000
6 Tl 0.8199 0.6801 0.5000
7 Cd 0.1206 0.6206 0.0000
8 Cd 0.3794 0.1206 0.0000
9 Cd 0.6206 0.8794 0.0000
10 Cd 0.8794 0.3794 0.0000

---

d | First-principles (PBE) data for crystalline SrTl2Cd2 at its relaxed geometry, as listed in Alexandria.

Properties
**V**: 304 Å³ per cell
**Total moment**: 0.00 μB/cell

abc: 7.3816 7.3816 9.6002
angles: 90.00 90.00 144.42
Sites, in units of the cell vectors:
1 Sr 0.0872 0.9128 0.7500
2 Sr 0.9128 0.0872 0.2500
3 Tl 0.4103 0.5897 0.5876
4 Tl 0.4103 0.5897 0.9124
5 Tl 0.5897 0.4103 0.0876
6 Tl 0.5897 0.4103 0.4124
7 Cd 0.2354 0.7646 0.1030
8 Cd 0.2354 0.7646 0.3970
9 Cd 0.7646 0.2354 0.6030
10 Cd 0.7646 0.2354 0.8970

---

Least stable = a